Arrangement w

The following is a DFT calculation (PBE) of NbOsRuSeS after structural relaxation.

abc: 6.7638 3.0056 9.5979
angles: 90.00 126.43 90.00
Positions (direct):
1 S 0.0384 0.5000 0.8698
2 S 0.0384 0.0000 0.3698
3 Se 0.3558 0.0000 0.2317
4 Se 0.3558 0.5000 0.7317
5 Ru 0.7346 0.0000 0.8353
6 Ru 0.7346 0.5000 0.3353
7 Os 0.9182 0.5000 0.1429
8 Os 0.9182 0.0000 0.6429
9 Nb 0.5065 0.5000 0.5108
10 Nb 0.5065 0.0000 0.0108

Values from the calculation:
- space group = Cm, No. 8

Arrangement x

The following is a DFT calculation (PBE) of NbOsRuSeS after structural relaxation.

abc: 7.2124 3.1938 9.5498
angles: 90.00 120.84 90.00
Positions (direct):
1 S 0.0511 0.0000 0.3711
2 S 0.0511 0.5000 0.8711
3 Ru 0.8031 0.5000 0.3455
4 Ru 0.8031 0.0000 0.8455
5 Nb 0.4579 0.0000 0.5289
6 Nb 0.4579 0.5000 0.0289
7 Os 0.7802 0.0000 0.0953
8 Os 0.7802 0.5000 0.5953
9 Se 0.4612 0.0000 0.2496
10 Se 0.4612 0.5000 0.7496

Values from the calculation:
- space group = Cm, No. 8

Most stable: arrangement w (next structure +0.019 eV/atom)

Arrangement w

The following is a DFT calculation (PBE) of NbOsRuSeS after structural relaxation.

abc: 3.5448 4.7171 5.4792
angles: 99.42 89.72 112.22
Positions (direct):
1 Se 0.8901 0.8247 0.1262
2 Nb 0.9120 0.8655 0.6131
3 S 0.6156 0.2717 0.6230
4 Os 0.2391 0.5224 0.8685
5 Ru 0.1763 0.3896 0.3625

Values from the calculation:
- space group = P1, No. 1

Arrangement x

The following is a DFT calculation (PBE) of NbOsRuSeS after structural relaxation.

abc: 4.5916 3.1352 5.8955
angles: 90.00 90.09 90.00
Positions (direct):
1 S 0.9761 0.0000 0.6148
2 Os 0.6560 0.0000 0.9141
3 Se 0.3447 0.5000 0.1308
4 Ru 0.8487 0.5000 0.3280
5 Nb 0.4143 0.5000 0.6056

Values from the calculation:
- space group = Pm, No. 6

Most stable: arrangement w (next structure +0.048 eV/atom)

Arrangement w

The following is a DFT calculation (PBE) of NbOsRuSeS after structural relaxation.

abc: 3.3991 4.3721 11.4750
angles: 90.00 90.00 90.00
Positions (direct):
1 S 0.5000 0.5000 0.5163
2 S 0.0000 0.0000 0.0163
3 Os 0.0000 0.5000 0.9254
4 Os 0.5000 0.0000 0.4254
5 Ru 0.5000 0.0000 0.8838
6 Ru 0.0000 0.5000 0.3838
7 Nb 0.0000 0.0000 0.2485
8 Nb 0.5000 0.5000 0.7485
9 Se 0.0000 0.0000 0.7027
10 Se 0.5000 0.5000 0.2027

Values from the calculation:
- space group = Imm2, No. 44

Arrangement x

The following is a DFT calculation (PBE) of NbOsRuSeS after structural relaxation.

abc: 4.6740 3.1412 5.7200
angles: 90.00 100.15 90.00
Positions (direct):
1 Os 0.7202 0.0000 0.9124
2 Nb 0.3999 0.5000 0.5772
3 S 0.9742 0.0000 0.6122
4 Ru 0.8206 0.5000 0.3129
5 Se 0.3249 0.0000 0.1787

Values from the calculation:
- space group = Pm, No. 6

Most stable: arrangement w (next structure +0.172 eV/atom)

Arrangement w

The following is a DFT calculation (PBE) of NbOsRuSeS after structural relaxation.

abc: 3.5215 4.8320 5.5964
angles: 106.58 94.98 105.61
Positions (direct):
1 Nb 0.0976 0.5315 0.7510
2 Os 0.8691 0.9106 0.5392
3 Se 0.4984 0.1484 0.9049
4 Ru 0.4447 0.3038 0.4058
5 S 0.2571 0.6989 0.2729

Values from the calculation:
- space group = P1, No. 1

Arrangement x

The following is a DFT calculation (PBE) of NbOsRuSeS after structural relaxation.

abc: 5.7329 3.3739 9.6169
angles: 90.00 111.27 90.00
Positions (direct):
1 S 0.0270 0.5000 0.9026
2 S 0.0270 0.0000 0.4026
3 Nb 0.5393 0.5000 0.0119
4 Nb 0.5393 0.0000 0.5119
5 Ru 0.7457 0.5000 0.3360
6 Ru 0.7457 0.0000 0.8360
7 Se 0.3624 0.0000 0.1949
8 Se 0.3624 0.5000 0.6949
9 Os 0.8792 0.0000 0.1451
10 Os 0.8792 0.5000 0.6451

Values from the calculation:
- space group = Cm, No. 8

Most stable: arrangement x (next structure +0.024 eV/atom)

Arrangement w

The following is a DFT calculation (PBE) of NbOsRuSeS after structural relaxation.

abc: 4.3807 3.4378 11.4673
angles: 90.00 90.00 90.00
Positions (direct):
1 Os 0.0000 0.0000 0.8840
2 Os 0.5000 0.5000 0.3840
3 Se 0.0000 0.5000 0.7069
4 Se 0.5000 0.0000 0.2069
5 S 0.0000 0.5000 0.0154
6 S 0.5000 0.0000 0.5154
7 Nb 0.5000 0.0000 0.7474
8 Nb 0.0000 0.5000 0.2474
9 Ru 0.5000 0.5000 0.9231
10 Ru 0.0000 0.0000 0.4231

Values from the calculation:
- space group = Imm2, No. 44

Arrangement x

The following is a DFT calculation (PBE) of NbOsRuSeS after structural relaxation.

abc: 5.3477 3.1241 10.7224
angles: 90.00 113.23 90.00
Positions (direct):
1 Os 0.5822 0.5000 0.4605
2 Os 0.5822 0.0000 0.9605
3 S 0.3226 0.0000 0.5284
4 S 0.3226 0.5000 0.0284
5 Ru 0.9793 0.0000 0.8608
6 Ru 0.9793 0.5000 0.3608
7 Se 0.9704 0.5000 0.6839
8 Se 0.9704 0.0000 0.1839
9 Nb 0.5181 0.5000 0.7432
10 Nb 0.5181 0.0000 0.2432

Values from the calculation:
- space group = Cm, No. 8

Most stable: arrangement w (next structure +0.096 eV/atom)

Arrangement w

The following is a DFT calculation (PBE) of NbOsRuSeS after structural relaxation.

abc: 5.4484 3.4119 9.0120
angles: 90.00 99.25 90.00
Positions (direct):
1 Ru 0.1133 0.5000 0.1993
2 Ru 0.1133 0.0000 0.6993
3 S 0.3571 0.5000 0.8292
4 S 0.3571 0.0000 0.3292
5 Nb 0.3963 0.5000 0.5346
6 Nb 0.3963 0.0000 0.0346
7 Se 0.8822 0.0000 0.0247
8 Se 0.8822 0.5000 0.5247
9 Os 0.6238 0.5000 0.2627
10 Os 0.6238 0.0000 0.7627

Values from the calculation:
- space group = Cm, No. 8

Arrangement x

The following is a DFT calculation (PBE) of NbOsRuSeS after structural relaxation.

abc: 5.6620 3.0749 9.7986
angles: 90.00 101.14 90.00
Positions (direct):
1 Se 0.3689 0.5000 0.9499
2 Se 0.3689 0.0000 0.4499
3 S 0.1036 0.0000 0.1578
4 S 0.1036 0.5000 0.6578
5 Ru 0.7379 0.0000 0.0176
6 Ru 0.7379 0.5000 0.5176
7 Os 0.8614 0.0000 0.3194
8 Os 0.8614 0.5000 0.8194
9 Nb 0.4817 0.5000 0.2417
10 Nb 0.4817 0.0000 0.7417

Values from the calculation:
- space group = Cm, No. 8

Most stable: arrangement x (next structure +0.046 eV/atom)

Arrangement w

The following is a DFT calculation (PBE) of NbOsS3 after structural relaxation.

abc: 4.5869 4.5869 4.5869
angles: 90.00 90.00 90.00
Positions (direct):
1 S 0.5000 0.0000 0.0000
2 S 0.0000 0.0000 0.5000
3 S 0.0000 0.5000 0.0000
4 Os 0.0000 0.0000 0.0000
5 Nb 0.5000 0.5000 0.5000

Values from the calculation:
- space group = Pm-3m, No. 221

Arrangement x

The following is a DFT calculation (PBE) of NbOsS3 after structural relaxation.

abc: 4.7686 4.7686 4.7686
angles: 90.00 90.00 90.00
Positions (direct):
1 Nb 0.0000 0.0000 0.0000
2 S 0.0000 0.5000 0.0000
3 S 0.5000 0.0000 0.0000
4 S 0.0000 0.0000 0.5000
5 Os 0.5000 0.5000 0.5000

Values from the calculation:
- space group = Pm-3m, No. 221

Most stable: arrangement w (next structure +0.181 eV/atom)

Arrangement w

The following is a DFT calculation (PBE) of NbOsS2 after structural relaxation.

abc: 8.1652 8.1652 8.1652
angles: 21.69 21.69 21.69
Positions (direct):
1 Nb 0.5000 0.5000 0.5000
2 S 0.0942 0.0942 0.0942
3 S 0.9058 0.9058 0.9058
4 Os 0.0000 0.0000 0.0000

Values from the calculation:
- space group = R-3m, No. 166

Arrangement x

The following is a DFT calculation (PBE) of NbOsS2 after structural relaxation.

abc: 5.4865 5.4865 6.4100
angles: 64.66 64.66 90.00
Positions (direct):
1 S 0.1026 0.6250 0.2500
2 S 0.6474 0.1250 0.2500
3 S 0.8750 0.8974 0.7500
4 S 0.3750 0.3526 0.7500
5 Os 0.7500 0.2500 0.5000
6 Os 0.0000 0.0000 0.0000
7 Nb 0.5000 0.5000 0.0000
8 Nb 0.2500 0.7500 0.5000

Values from the calculation:
- space group = I-42d, No. 122

Most stable: arrangement w (next structure +0.207 eV/atom)